## TaNb4Mo (PBE-GGA)

Data for TaNb4Mo after structural relaxation.

Results
* energy of formation from the pure elements: 71 meV per atom
* D(E_F): 5.9 states/eV/cell
* energy: -10.4224 eV per atom

a b c (Å): 5.4413 5.3660 7.6451
angles (deg): 90.00 90.00 90.00
Fractional coordinates of all 12 atoms:
Ta 0.0000 0.5000 0.0000
Ta 0.5000 0.5000 0.5000
Nb 0.7500 0.2368 0.2500
Nb 0.2500 0.2368 0.2500
Nb 0.5000 0.2597 0.8742
Nb 0.0000 0.7403 0.3742
Nb 0.0000 0.2597 0.6258
Nb 0.5000 0.7403 0.1258
Nb 0.7500 0.7632 0.7500
Nb 0.2500 0.7632 0.7500
Mo 0.5000 0.0000 0.5000
Mo 0.0000 0.0000 0.0000



## ScPIrPt2 (PBE-GGA)

Data for ScPIrPt2 after structural relaxation.

Results
* energy of formation from the pure elements: 278 meV per atom
* D(E_F): 5.9 states/eV/cell
* energy: -6.2583 eV per atom

a b c (Å): 5.0426 4.2366 5.0426
angles (deg): 90.00 90.00 90.00
Fractional coordinates of all 5 atoms:
Sc 0.5000 0.5000 0.5000
P 0.0000 0.5000 0.0000
Ir 0.0000 0.0000 0.0000
Pt 0.0000 0.0000 0.5000
Pt 0.5000 0.0000 0.0000



## Rb2ErAsSe4 (PBE-GGA)

Data for Rb2ErAsSe4 after structural relaxation.

Results
* formation energy without anion corrections: -1041 meV per atom
* energy: -4.1771 eV per atom

a b c (Å): 8.7324 8.7324 8.7139
angles (deg): 119.93 119.93 90.02
Fractional coordinates of all 16 atoms:
Rb 0.5000 0.0000 0.0000
Rb 0.5000 0.0000 0.5000
Rb 0.0000 0.0000 0.5000
Rb 0.5000 0.5000 0.0000
Er 0.0000 0.5000 0.0000
Er 0.0000 0.5000 0.5000
As 0.5000 0.5000 0.5000
As 0.0000 0.0000 0.0000
Se 0.1944 0.7380 0.9662
Se 0.7620 0.3056 0.5338
Se 0.2380 0.6944 0.4662
Se 0.8056 0.2620 0.0338
Se 0.7668 0.7331 0.9577
Se 0.7669 0.7332 0.5423
Se 0.2331 0.2669 0.4578
Se 0.2331 0.2669 0.0423



## Co2Sn2Te (PBE-GGA)

Data for Co2Sn2Te after structural relaxation.

Results
* formation energy without anion corrections: 179 meV per atom
* D(E_F): 8.5 states/eV/cell
* energy: -4.8932 eV per atom

a b c (Å): 7.5527 7.5527 3.1619
angles (deg): 90.00 90.00 90.00
Fractional coordinates of all 10 atoms:
Te 0.0000 0.0000 0.0000
Te 0.5000 0.5000 0.0000
Co 0.3550 0.8550 0.0000
Co 0.8550 0.6450 0.0000
Co 0.6450 0.1450 0.0000
Co 0.1450 0.3550 0.0000
Sn 0.1479 0.6479 0.5000
Sn 0.6479 0.8521 0.5000
Sn 0.8521 0.3521 0.5000
Sn 0.3521 0.1479 0.5000



Please write out number 4 again, unchanged.
## Co2Sn2Te (PBE-GGA)

Data for Co2Sn2Te after structural relaxation.

Results
* formation energy without anion corrections: 179 meV per atom
* D(E_F): 8.5 states/eV/cell
* energy: -4.8932 eV per atom

a b c (Å): 7.5527 7.5527 3.1619
angles (deg): 90.00 90.00 90.00
Fractional coordinates of all 10 atoms:
Te 0.0000 0.0000 0.0000
Te 0.5000 0.5000 0.0000
Co 0.3550 0.8550 0.0000
Co 0.8550 0.6450 0.0000
Co 0.6450 0.1450 0.0000
Co 0.1450 0.3550 0.0000
Sn 0.1479 0.6479 0.5000
Sn 0.6479 0.8521 0.5000
Sn 0.8521 0.3521 0.5000
Sn 0.3521 0.1479 0.5000



- The highest energy belongs to which entry?
  Rb2ErAsSe4



Please write out number 1 again, unchanged.
## TaNb4Mo (PBE-GGA)

Data for TaNb4Mo after structural relaxation.

Results
* energy of formation from the pure elements: 71 meV per atom
* D(E_F): 5.9 states/eV/cell
* energy: -10.4224 eV per atom

a b c (Å): 5.4413 5.3660 7.6451
angles (deg): 90.00 90.00 90.00
Fractional coordinates of all 12 atoms:
Ta 0.0000 0.5000 0.0000
Ta 0.5000 0.5000 0.5000
Nb 0.7500 0.2368 0.2500
Nb 0.2500 0.2368 0.2500
Nb 0.5000 0.2597 0.8742
Nb 0.0000 0.7403 0.3742
Nb 0.0000 0.2597 0.6258
Nb 0.5000 0.7403 0.1258
Nb 0.7500 0.7632 0.7500
Nb 0.2500 0.7632 0.7500
Mo 0.5000 0.0000 0.5000
Mo 0.0000 0.0000 0.0000